# K2BaFe PBE optimized geometry
data_K2BaFe
_chemical_formula_sum 'K4 Ba2 Fe2'
_space_group_name_H-M_alt 'C m m m'
_space_group_IT_number 65
_space_group_name_Hall '-C 2 2'
_cell_length_a 7.1322
_cell_length_b 13.0304
_cell_length_c 4.1232
_cell_angle_alpha 90.00
_cell_angle_beta 90.00
_cell_angle_gamma 90.00
loop_
_atom_site_label
_atom_site_fract_x
_atom_site_fract_y
_atom_site_fract_z
K1 0.2500 0.2500 0.0000
Ba1 0.0000 0.0000 0.5000
Fe1 0.0000 0.5000 0.5000
# polymorph energy (0 for the lowest one): 282 meV/atom
# magnetization: 2.72 μB per formula unit
# formation energy from the elements: 3.52 eV/f.u.